Compound: Sm5YAg6
Source: the Alexandria database
Functional: PBE-GGA
Structure: optimized geometry

- calculated volume (Å³/cell) = 304.5
- ΔE_f (meV per atom) = -288
- total moment (μB/f.u.) = 0.0
- DOS at the Fermi energy (states/eV per cell) = 7.16
- space group = P2/m (10)

Unit cell a=5.261 b=7.329 c=8.338 alpha=90.00 beta=71.28 gamma=89.99
Atoms (fractional coordinates):
1 Y 0.000 0.000 0.000
2 Sm 0.667 0.500 0.666
3 Sm 0.334 0.000 0.332
4 Sm 0.000 0.500 0.000
5 Sm 0.666 0.000 0.668
6 Sm 0.333 0.500 0.334
7 Ag 0.835 0.752 0.330
8 Ag 0.835 0.248 0.330
9 Ag 0.500 0.246 0.000
10 Ag 0.500 0.754 0.000
11 Ag 0.165 0.752 0.670
12 Ag 0.165 0.248 0.670